(1)
{"formula": "BaLiRh2", "functional": "GGA-PBE", "state": "relaxed", "relative_energy_ev_per_fu": 1.32, "sg": "Pmmm, No. 47", "total_magnetization_mub_per_atom": 0.0013, "density_g_cm3": 7.22, "cell": [[3.0379, 0.0000, 0.0000], [0.0000, 4.0704, 0.0000], [0.0000, 0.0000, 6.5114]], "species": ["Ba", "Li", "Rh", "Rh"], "fractional_positions": [[0.0000, 0.0000, 0.0000], [0.0000, 0.0000, 0.5000], [0.5000, 0.5000, 0.3090], [0.5000, 0.5000, 0.6910]]}

(2)
{"formula": "BaLiRh2", "functional": "GGA-PBE", "state": "relaxed", "relative_energy_ev_per_fu": 1.22, "sg": "P4mm, No. 99", "total_magnetization_mub_per_atom": 0.1769, "density_g_cm3": 6.47, "cell": [[3.4966, 0.0000, 0.0000], [0.0000, 3.4966, 0.0000], [0.0000, 0.0000, 7.3528]], "species": ["Ba", "Li", "Rh", "Rh"], "fractional_positions": [[0.0000, 0.0000, 0.0000], [0.5000, 0.5000, 0.3749], [0.0000, 0.0000, 0.5813], [0.5000, 0.5000, 0.7034]]}

(3)
{"formula": "BaLiRh2", "functional": "GGA-PBE", "state": "relaxed", "relative_energy_ev_per_fu": 1.10, "sg": "Pm, No. 6", "total_magnetization_mub_per_atom": 0.0000, "density_g_cm3": 7.16, "cell": [[3.1130, 0.0000, 0.0000], [0.0000, 4.3666, 0.0000], [-1.1639, 0.0000, 5.9740]], "species": ["Ba", "Li", "Rh", "Rh"], "fractional_positions": [[0.0000, 0.0000, 0.0000], [0.6140, 0.5000, 0.3194], [0.2374, 0.5000, 0.6435], [0.6730, 0.0000, 0.5288]]}

> Which formula does entry 3 have?

BaLiRh2